First-principles (PBE-GGA) data for an optimized crystal structure of LiSbHPtSe, as listed in Alexandria via LeMat-Bulk.

## Properties
distance to the lowest polymorph of the same formula	15	meV/atom
electronic total energy	-4.2010	eV per atom
calculated density	7.1	g/cm³
DOS at the Fermi energy	0.1563	states/eV per atom

a b c (Å): 6.161 4.076 7.897
angles (deg): 90.00 107.45 90.00
Fractional coordinates of all 10 atoms:
Li  0.789  0.000  0.783
Li  0.789  0.500  0.283
Sb  0.290  0.000  0.062
Sb  0.290  0.500  0.562
H  0.972  0.000  0.479
H  0.972  0.500  0.979
Pt  0.125  0.000  0.348
Pt  0.125  0.500  0.848
Se  0.733  0.000  0.087
Se  0.733  0.500  0.587

***

First-principles (PBE-GGA) data for an optimized crystal structure of LiSbHPtSe, as listed in Alexandria via LeMat-Bulk.

## Properties
distance to the lowest polymorph of the same formula	134	meV/atom
electronic total energy	-4.0815	eV per atom
calculated density	6.6	g/cm³
DOS at the Fermi energy	0.2582	states/eV per atom

a b c (Å): 4.053 4.048 7.061
angles (deg): 95.87 105.28 111.06
Fractional coordinates of all 5 atoms:
Li  0.547  0.588  0.699
Sb  0.075  0.345  0.987
H  0.690  0.206  0.462
Pt  0.783  0.763  0.114
Se  0.933  0.001  0.499

***

First-principles (PBE-GGA) data for an optimized crystal structure of LiSbHPtSe, as listed in Alexandria via LeMat-Bulk.

## Properties
distance to the lowest polymorph of the same formula	4	meV/atom
electronic total energy	-4.2112	eV per atom
calculated density	7.9	g/cm³
DOS at the Fermi energy	0.1919	states/eV per atom

a b c (Å): 3.999 3.852 11.377
angles (deg): 90.00 103.15 90.00
Fractional coordinates of all 10 atoms:
Li  0.067  0.000  0.752
Li  0.067  0.500  0.252
Sb  0.553  0.000  0.500
Sb  0.553  0.500  0.000
H  0.901  0.000  0.905
H  0.901  0.500  0.405
Pt  0.099  0.000  0.042
Pt  0.099  0.500  0.542
Se  0.533  0.000  0.255
Se  0.533  0.500  0.755

***

First-principles (PBE-GGA) data for an optimized crystal structure of LiSbHPtSe, as listed in Alexandria via LeMat-Bulk.

## Properties
distance to the lowest polymorph of the same formula	60	meV/atom
electronic total energy	-4.1556	eV per atom
calculated density	7.3	g/cm³
DOS at the Fermi energy	0.2314	states/eV per atom

a b c (Å): 3.593 4.707 6.202
angles (deg): 90.49 106.76 112.38
Fractional coordinates of all 5 atoms:
Li  0.640  0.668  0.744
Sb  0.188  0.303  0.191
H  0.019  0.807  0.363
Pt  0.553  0.901  0.324
Se  0.935  0.258  0.743

***

| no. | spin magnetization (μB per formula unit) |
| --- | --- |
| 1 | 0.0 |
| 2 | 0.0 |
| 3 | 0.0 |
| 4 | 0.0 |